DFT (PBE) results for crystalline MgMn2Br at its relaxed geometry.

* relative energy among the computed polymorphs: 0.185 eV per atom
* density of states at the Fermi level: 2.76 states/eV/cell
* total magnetic moment: 2.15 μB per atom

The structure in extended XYZ format:
```
4
Lattice="-3.945 -2.920 1.868 3.164 -2.313 -3.495 1.928 -1.046 2.438" Properties=species:S:1:pos:R:3 pbc="T T T"
Mn 0.000 0.000 0.000
Mn -0.391 -2.617 -0.814
Br -1.008 -1.983 2.153
Mg 2.546 -1.680 -0.529
```

---

DFT (PBE) results for crystalline AlTcBr2 at its relaxed geometry.

* relative energy among the computed polymorphs: 0.743 eV per atom
* density of states at the Fermi level: 2.29 states/eV/cell
* total magnetic moment: 0.45 μB per atom

The structure in extended XYZ format:
```
4
Lattice="4.390 0.000 0.000 0.000 3.364 0.018 0.000 0.002 5.687" Properties=species:S:1:pos:R:3 pbc="T T T"
Tc 2.195 0.841 1.426
Br 0.000 0.221 0.075
Al 2.195 2.524 4.279
Br 0.000 1.461 2.777
```

---

| no. | uncorrected formation energy (eV per atom) |
| --- | --- |
| 1 | 0.41 |
| 2 | 0.54 |